VASP calculation (PBE-GGA) on a relaxed Mg2Sc3Ag crystal.

- total moment (μB/cell) = 0.000
- uncorrected energy (eV for the cell shown) = -25.72

a = 3.5417 Å, b = 3.5417 Å, c = 10.5668 Å
α = 90.00°, β = 90.00°, γ = 90.00°
Closest atoms and distances in Å follow each position.
Space group P4/mmm (No. 123)
Inequivalent atoms, fractional coordinates:
Mg  0.0000  0.0000  0.1692  8 Sc 3.08-3.11
Sc  0.5000  0.5000  0.0000  8 Mg 3.08
Sc  0.5000  0.5000  0.3441  4 Ag 3.00, 4 Mg 3.11, 1 Sc 3.29
Ag  0.0000  0.0000  0.5000  8 Sc 3.00